No. 1
The following is a DFT calculation (PBE) of crystalline SbPb2 at its relaxed geometry.

Output
ΔE to the lowest computed polymorph (meV/atom): 22
Total magnetization (μB/cell): 0.000
Mass density (Mg/m³): 9.4

a = 4.1795 Å, b = 6.9970 Å, c = 7.1019 Å
α = 106.70°, β = 107.11°, γ = 90.00°
Closest atoms and distances in Å follow each position.
Element x y z (fractional)
Pb1 0.4842 0.7475 0.9684  4 Sb 3.20-3.50, 1 Pb 3.43
Pb2 0.8185 0.3511 0.6369  3 Sb 3.18-3.27
Pb3 0.5158 0.2525 0.0316  4 Sb 3.20-3.50, 1 Pb 3.43
Sb1 0.1536 0.0976 0.3072  7 Pb 3.18-3.50
Pb4 0.1815 0.6489 0.3631  3 Sb 3.18-3.27
Sb2 0.8464 0.9024 0.6928  7 Pb 3.18-3.50



No. 2
The following is a DFT calculation (PBE) of crystalline SbPb at its relaxed geometry.

Output
Total energy (eV/atom): -3.808
Total magnetization (μB/cell): 0.000
Mass density (Mg/m³): 9.2

a = 3.3480 Å, b = 3.3481 Å, c = 5.4820 Å
α = 90.00°, β = 90.00°, γ = 104.15°
Closest atoms and distances in Å follow each position.
Element x y z (fractional)
Pb1 0.0000 0.0000 0.0000  4 Pb 3.35, 4 Sb 3.43
Sb1 0.5000 0.5000 0.5000  4 Sb 3.35, 4 Pb 3.43



No. 3
The following is a DFT calculation (PBE) of crystalline SbPb at its relaxed geometry.

Output
Total energy (eV/atom): -3.859
Total magnetization (μB/cell): 0.000
Mass density (Mg/m³): 8.7

a = 3.2450 Å, b = 6.4240 Å, c = 6.9113 Å
α = 90.00°, β = 118.93°, γ = 90.00°
Closest atoms and distances in Å follow each position.
Element x y z (fractional)
Pb1 0.8750 0.5000 0.3061  6 Sb 3.21-3.47, 2 Pb 3.24
Pb2 0.8750 0.0000 0.8061  6 Sb 3.21-3.47, 2 Pb 3.24
Sb1 0.8669 0.0000 0.3061  6 Pb 3.21-3.47, 2 Sb 3.24
Sb2 0.8669 0.5000 0.8061  6 Pb 3.21-3.47, 2 Sb 3.24



No. 4
The following is a DFT calculation (PBE) of crystalline Sb2Pb3 at its relaxed geometry.

Output
ΔE to the lowest computed polymorph (meV/atom): 0
Total magnetization (μB/cell): 0.000
Mass density (Mg/m³): 8.5

a = 4.5813 Å, b = 4.5813 Å, c = 9.6834 Å
α = 76.32°, β = 76.32°, γ = 60.00°
Closest atoms and distances in Å follow each position.
Element x y z (fractional)
Pb1 0.7903 0.7903 0.6291  3 Sb 3.07
Pb2 0.0000 0.0000 0.0000  6 Sb 3.25
Sb1 0.5990 0.5990 0.2029  6 Pb 3.07-3.25
Sb2 0.4010 0.4010 0.7971  6 Pb 3.07-3.25
Pb3 0.2097 0.2097 0.3709  3 Sb 3.07